Entry 1:
Compound: Ac6Tb2Dy
Source: Alexandria via LeMat-Bulk
Functional: GGA-PBE
Structure: optimized geometry

Computed properties:
electronic total energy: -4.115 eV/atom
density of states at the Fermi level: 1.663 states/eV per atom
SG: No. 15

abc: 7.7463 9.8816 9.8816
angles: 78.99 90.14 90.14
Atoms (fractional coordinates):
Ac: 0.6113 0.1117 0.6551
Dy: 0.2500 0.0244 0.9756
Ac: 0.1113 0.6551 0.1117
Tb: 0.1077 0.1946 0.2050
Ac: 0.3769 0.3864 0.8977
Tb: 0.6077 0.2050 0.1946
Ac: 0.6295 0.5975 0.6075
Ac: 0.1231 0.1023 0.6136
Dy: 0.7500 0.9756 0.0244
Ac: 0.8887 0.3449 0.8883
Ac: 0.3705 0.4025 0.3925
Ac: 0.8769 0.8977 0.3864
Tb: 0.3923 0.7950 0.8054
Ac: 0.6231 0.6136 0.1023
Ac: 0.8705 0.3925 0.4025
Tb: 0.8923 0.8054 0.7950
Ac: 0.3887 0.8883 0.3449
Ac: 0.1295 0.6075 0.5975

***

Entry 2:
Compound: SrTaPb2
Source: Alexandria via LeMat-Bulk
Functional: GGA-PBE
Structure: optimized geometry

Computed properties:
electronic total energy: -4.614 eV/atom
density of states at the Fermi level: 0.887 states/eV per atom
SG: No. 122

abc: 5.8088 5.8088 10.0052
angles: 73.12 73.12 90.00
Each line ends with the local moment (μB).
Atoms (fractional coordinates):
Pb: 0.3750 0.2360 0.7500  -0.01
Pb: 0.8750 0.0140 0.7500  -0.01
Pb: 0.9860 0.6250 0.2500  -0.03
Ta: 0.0000 0.0000 0.0000  0.69
Pb: 0.7640 0.1250 0.2500  -0.03
Sr: 0.2500 0.7500 0.5000  0.01
Sr: 0.5000 0.5000 0.0000  0.01
Ta: 0.7500 0.2500 0.5000  0.69

***

Entry 3:
Compound: Cd2SiTc
Source: Alexandria via LeMat-Bulk
Functional: GGA-PBE
Structure: optimized geometry

Computed properties:
electronic total energy: -4.109 eV/atom
density of states at the Fermi level: 0.582 states/eV per atom
SG: No. 71
E_form (uncorrected): 296 meV/atom

abc: 5.5314 5.5314 5.5314
angles: 144.35 135.87 57.97
Atoms (fractional coordinates):
Cd: 0.9903 0.9903 0.0000
Si: 0.7500 0.2500 0.5000
Cd: 0.5097 0.5097 0.0000
Tc: 0.2500 0.7500 0.5000

***

Entry 4:
Compound: KRb2TcF6
Source: Alexandria via LeMat-Bulk
Functional: GGA-PBE
Structure: optimized geometry

Computed properties:
electronic total energy: -4.918 eV/atom
density of states at the Fermi level: 0.652 states/eV per atom
SG: No. 139
E_form (uncorrected): -2455 meV/atom

abc: 6.4960 6.4960 6.4569
angles: 59.80 59.80 90.00
Each line ends with the local moment (μB).
Atoms (fractional coordinates):
Tc: 0.0000 0.0000 0.0000  1.68
F: 0.2248 0.7752 0.0000  0.02
F: 0.7782 0.7782 0.4436  0.04
Rb: 0.2500 0.7500 0.5000  0.00
F: 0.2218 0.2218 0.5564  0.04
F: 0.2248 0.2248 0.0000  0.02
F: 0.7752 0.2248 0.0000  0.02
F: 0.7752 0.7752 0.0000  0.02
K: 0.5000 0.5000 0.0000  0.00
Rb: 0.7500 0.2500 0.5000  0.00

***

Entry 5:
Compound: Nd5Sm6Y
Source: Alexandria via LeMat-Bulk
Functional: GGA-PBE
Structure: optimized geometry

Computed properties:
electronic total energy: -4.872 eV/atom
density of states at the Fermi level: 1.445 states/eV per atom
SG: No. 12

abc: 12.1023 6.3213 6.3175
angles: 59.98 85.01 79.99
Atoms (fractional coordinates):
Nd: 0.0000 0.3332 0.3335
Sm: 0.2492 0.2503 0.0000
Nd: 0.5000 0.8336 0.3329
Sm: 0.7509 0.4157 0.6670
Nd: 0.0000 0.6668 0.6665
Sm: 0.7509 0.0827 0.3330
Sm: 0.2491 0.5843 0.3330
Sm: 0.2491 0.9173 0.6670
Nd: 0.5000 0.1664 0.6671
Nd: 0.5000 0.5000 0.0000
Sm: 0.7508 0.7497 0.0000
Y: 0.0000 0.0000 0.0000

***

Entry 6:
Compound: TePb2Cl2
Source: Alexandria via LeMat-Bulk
Functional: GGA-PBE
Structure: optimized geometry

Computed properties:
electronic total energy: -3.332 eV/atom
density of states at the Fermi level: 0.356 states/eV per atom
SG: No. 127
E_form (uncorrected): -482 meV/atom

abc: 9.1072 9.1072 3.4590
angles: 90.00 90.00 90.00
Atoms (fractional coordinates):
Cl: 0.6182 0.1182 0.0000
Pb: 0.6999 0.8001 0.5000
Cl: 0.8818 0.6182 0.0000
Te: 0.0000 0.0000 0.0000
Pb: 0.8001 0.3001 0.5000
Pb: 0.1999 0.6999 0.5000
Pb: 0.3001 0.1999 0.5000
Cl: 0.1182 0.3818 0.0000
Te: 0.5000 0.5000 0.0000
Cl: 0.3818 0.8818 0.0000

***

Entry 7:
Compound: TaSbPb2
Source: Alexandria via LeMat-Bulk
Functional: GGA-PBE
Structure: optimized geometry

Computed properties:
electronic total energy: -5.265 eV/atom
density of states at the Fermi level: 0.782 states/eV per atom
SG: No. 47
E_form (uncorrected): 583 meV/atom

abc: 3.1956 5.1790 6.1374
angles: 90.00 90.00 90.00
Atoms (fractional coordinates):
Pb: 0.0000 0.0000 0.5070
Ta: 0.5000 0.5000 0.7500
Sb: 0.5000 0.5000 0.2500
Pb: 0.0000 0.0000 0.9930

***

Entry 8:
Compound: HgSbBrCl2
Source: Alexandria via LeMat-Bulk
Functional: GGA-PBE
Structure: optimized geometry

Computed properties:
electronic total energy: -2.438 eV/atom
density of states at the Fermi level: 0.547 states/eV per atom
SG: No. 123
E_form (uncorrected): -480 meV/atom

abc: 5.3371 5.3371 5.6391
angles: 90.00 90.00 90.00
Atoms (fractional coordinates):
Br: 0.0000 0.0000 0.5000
Cl: 0.5000 0.0000 0.0000
Sb: 0.0000 0.0000 0.0000
Hg: 0.5000 0.5000 0.5000
Cl: 0.0000 0.5000 0.0000

***

Entry 9:
Compound: Mn2Ag2Cl7
Source: Alexandria via LeMat-Bulk
Functional: GGA-PBE
Structure: optimized geometry

Computed properties:
electronic total energy: -4.156 eV/atom
density of states at the Fermi level: 0.012 states/eV per atom
SG: No. 12
E_form (uncorrected): -796 meV/atom

abc: 6.7398 7.1922 7.1922
angles: 116.17 90.32 90.32
Each line ends with the local moment (μB).
Atoms (fractional coordinates):
Cl: 0.0000 0.0000 0.0000  0.00
Mn: 0.8788 0.2903 0.2903  4.03
Ag: 0.5000 0.2776 0.7224  0.00
Cl: 0.7273 0.4161 0.0738  0.03
Cl: 0.7273 0.0738 0.4161  0.03
Cl: 0.7846 0.5951 0.5951  0.05
Mn: 0.1212 0.7097 0.7097  4.03
Cl: 0.2727 0.9262 0.5839  0.03
Cl: 0.2727 0.5839 0.9262  0.03
Ag: 0.5000 0.7224 0.2776  0.00
Cl: 0.2154 0.4049 0.4049  0.05

***

Entry 10:
Compound: Rb2UTeO2
Source: Alexandria via LeMat-Bulk
Functional: GGA-PBE
Structure: optimized geometry

Computed properties:
electronic total energy: -6.195 eV/atom
density of states at the Fermi level: 0.660 states/eV per atom
SG: No. 123
E_form (uncorrected): -1815 meV/atom

abc: 4.5171 4.5171 7.1183
angles: 90.00 90.00 90.00
Each line ends with the local moment (μB).
Atoms (fractional coordinates):
Rb: 0.5000 0.5000 0.2728  0.00
O: 0.0000 0.5000 0.0000  -0.07
U: 0.0000 0.0000 0.0000  2.07
Rb: 0.5000 0.5000 0.7272  0.00
O: 0.5000 0.0000 0.0000  -0.07
Te: 0.0000 0.0000 0.5000  -0.02

***

Entry 11:
Compound: SmPuPd4
Source: Alexandria via LeMat-Bulk
Functional: GGA-PBE
Structure: optimized geometry

Computed properties:
electronic total energy: -7.285 eV/atom
density of states at the Fermi level: 3.062 states/eV per atom
SG: No. 216

abc: 5.4797 5.4797 5.4797
angles: 60.00 60.00 60.00
Each line ends with the local moment (μB).
Atoms (fractional coordinates):
Pu: 0.2500 0.2500 0.2500  5.29
Sm: 0.0000 0.0000 0.0000  0.10
Pd: 0.6247 0.1260 0.6247  -0.07
Pd: 0.6247 0.6247 0.1260  -0.07
Pd: 0.1260 0.6247 0.6247  -0.07
Pd: 0.6247 0.6247 0.6247  -0.07

***

Entry 12:
Compound: Sb2MoPt
Source: Alexandria via LeMat-Bulk
Functional: GGA-PBE
Structure: optimized geometry

Computed properties:
electronic total energy: -6.254 eV/atom
density of states at the Fermi level: 0.425 states/eV per atom
SG: No. 6
E_form (uncorrected): 25 meV/atom

abc: 3.9414 2.9587 8.1713
angles: 71.44 90.00 90.00
Atoms (fractional coordinates):
Sb: 0.5000 0.1357 0.3294
Mo: 0.0000 0.4451 0.5448
Pt: 0.5000 0.7945 0.7154
Sb: 0.0000 0.1247 0.9103

***

Entry 13:
Compound: Co2AgOs
Source: Alexandria via LeMat-Bulk
Functional: GGA-PBE
Structure: optimized geometry

Computed properties:
electronic total energy: -6.627 eV/atom
density of states at the Fermi level: 1.321 states/eV per atom
SG: No. 8

abc: 4.8074 4.8074 4.5541
angles: 74.73 74.73 31.92
Each line ends with the local moment (μB).
Atoms (fractional coordinates):
Co: 0.9785 0.9785 0.9891  1.38
Ag: 0.7406 0.7406 0.7864  0.03
Co: 0.2629 0.2629 0.2772  1.54
Os: 0.5180 0.5180 0.4473  0.23

***

Entry 14:
Compound: Mg2AlSi2
Source: Alexandria via LeMat-Bulk
Functional: GGA-PBE
Structure: optimized geometry

Computed properties:
electronic total energy: -3.415 eV/atom
density of states at the Fermi level: 0.401 states/eV per atom
SG: No. 139
E_form (uncorrected): 141 meV/atom

abc: 3.4208 3.4208 8.6990
angles: 78.66 78.66 90.00
Atoms (fractional coordinates):
Al: 0.0000 0.0000 0.0000
Mg: 0.6101 0.6101 0.7798
Si: 0.7500 0.2500 0.5000
Mg: 0.3899 0.3899 0.2202
Si: 0.2500 0.7500 0.5000

***

Entry 15:
Compound: CaTiTe2N
Source: Alexandria via LeMat-Bulk
Functional: GGA-PBE
Structure: optimized geometry

Computed properties:
electronic total energy: -5.553 eV/atom
density of states at the Fermi level: 0.857 states/eV per atom
SG: No. 123
E_form (uncorrected): -652 meV/atom

abc: 5.6545 5.6545 3.8004
angles: 90.00 90.00 90.00
Atoms (fractional coordinates):
Ca: 0.5000 0.5000 0.5000
N: 0.0000 0.0000 0.5000
Te: 0.0000 0.5000 0.0000
Ti: 0.0000 0.0000 0.0000
Te: 0.5000 0.0000 0.0000

***

Entry 16:
Compound: Fe3Cu2Ni8
Source: Alexandria via LeMat-Bulk
Functional: GGA-PBE
Structure: optimized geometry

Computed properties:
electronic total energy: -5.895 eV/atom
density of states at the Fermi level: 1.029 states/eV per atom
SG: No. 166

abc: 4.5784 4.5784 9.1570
angles: 75.52 75.52 60.00
Each line ends with the local moment (μB).
Atoms (fractional coordinates):
Cu: 0.3604 0.3604 0.9188  0.07
Ni: 0.7278 0.2288 0.3155  0.56
Fe: 0.8165 0.8165 0.5505  2.82
Ni: 0.7272 0.7272 0.8185  0.41
Ni: 0.7712 0.2722 0.6845  0.56
Ni: 0.2722 0.7712 0.6845  0.56
Ni: 0.2728 0.2728 0.1815  0.41
Ni: 0.2288 0.7278 0.3155  0.56
Cu: 0.6396 0.6396 0.0812  0.07
Ni: 0.2722 0.2722 0.6845  0.56
Fe: 0.0000 0.0000 0.0000  3.22
Fe: 0.1835 0.1835 0.4495  2.82
Ni: 0.7278 0.7278 0.3155  0.56

***

Entry 17:
Compound: TbCeTeS
Source: Alexandria via LeMat-Bulk
Functional: GGA-PBE
Structure: optimized geometry

Computed properties:
electronic total energy: -5.986 eV/atom
density of states at the Fermi level: 1.719 states/eV per atom
SG: No. 160
E_form (uncorrected): -1528 meV/atom

abc: 4.0213 4.0218 8.0048
angles: 90.00 104.54 120.00
Each line ends with the local moment (μB).
Atoms (fractional coordinates):
Tb: 0.2898 0.5428 0.8479  -0.01
Ce: 0.9810 0.3885 0.3847  1.09
S: 0.4789 0.1374 0.6315  -0.02
Te: 0.1282 0.9621 0.1055  -0.01

***

Entry 18:
Compound: Sr2CuAs3Pd4
Source: Alexandria via LeMat-Bulk
Functional: GGA-PBE
Structure: optimized geometry

Computed properties:
electronic total energy: -4.919 eV/atom
density of states at the Fermi level: 0.483 states/eV per atom
SG: No. 115

abc: 4.4393 4.4393 10.1227
angles: 90.00 90.00 90.00
Atoms (fractional coordinates):
As: 0.0000 0.5000 0.1310
Pd: 0.5000 0.0000 0.6218
Pd: 0.5000 0.5000 0.0000
As: 0.0000 0.0000 0.5000
Sr: 0.0000 0.5000 0.7457
Pd: 0.0000 0.0000 0.0000
Sr: 0.5000 0.0000 0.2543
Pd: 0.0000 0.5000 0.3782
Cu: 0.5000 0.5000 0.5000
As: 0.5000 0.0000 0.8690

***

Entry 19:
Compound: PrPaGa2
Source: Alexandria via LeMat-Bulk
Functional: GGA-PBE
Structure: optimized geometry

Computed properties:
electronic total energy: -5.431 eV/atom
density of states at the Fermi level: 1.325 states/eV per atom
SG: No. 123

abc: 3.3273 3.3273 8.4522
angles: 90.00 90.00 90.00
Atoms (fractional coordinates):
Ga: 0.0000 0.0000 0.2397
Pr: 0.5000 0.5000 0.5000
Pa: 0.5000 0.5000 0.0000
Ga: 0.0000 0.0000 0.7603

***

Entry 20:
Compound: Cl
Source: Alexandria via LeMat-Bulk
Functional: GGA-PBE
Structure: optimized geometry

Computed properties:
electronic total energy: -1.805 eV/atom
density of states at the Fermi level: 0.000 states/eV per atom
SG: No. 138
E_form (uncorrected): 41 meV/atom

abc: 11.2822 11.2822 8.9687
angles: 90.00 90.00 90.00
Atoms (fractional coordinates):
Cl: 0.6030 0.6407 0.3561
Cl: 0.8593 0.8970 0.3561
Cl: 0.6407 0.6030 0.1439
Cl: 0.6407 0.3970 0.6439
Cl: 0.8970 0.1407 0.6439
Cl: 0.1030 0.1407 0.1439
Cl: 0.1407 0.8970 0.8561
Cl: 0.1407 0.1030 0.3561
Cl: 0.1030 0.8593 0.6439
Cl: 0.6030 0.3593 0.8561
Cl: 0.8970 0.8593 0.1439
Cl: 0.3593 0.3970 0.1439
Cl: 0.3970 0.6407 0.8561
Cl: 0.3970 0.3593 0.3561
Cl: 0.3593 0.6030 0.6439
Cl: 0.8593 0.1030 0.8561

***

Entry 21:
Compound: PmAl2Ag6
Source: Alexandria via LeMat-Bulk
Functional: GGA-PBE
Structure: optimized geometry

Computed properties:
electronic total energy: -3.431 eV/atom
density of states at the Fermi level: 0.568 states/eV per atom
SG: No. 123

abc: 4.3227 4.3227 9.4450
angles: 90.00 90.00 90.00
Atoms (fractional coordinates):
Ag: 0.5000 0.0000 0.2899
Ag: 0.5000 0.0000 0.7101
Ag: 0.0000 0.0000 0.5000
Al: 0.5000 0.5000 0.8660
Ag: 0.0000 0.5000 0.7101
Ag: 0.0000 0.5000 0.2899
Al: 0.5000 0.5000 0.1340
Ag: 0.5000 0.5000 0.5000
Pm: 0.0000 0.0000 0.0000

***

Entry 22:
Compound: Sm4Er19Tm6
Source: Alexandria via LeMat-Bulk
Functional: GGA-PBE
Structure: optimized geometry

Computed properties:
electronic total energy: -4.166 eV/atom
density of states at the Fermi level: 1.524 states/eV per atom
SG: No. 197

abc: 10.7198 10.7196 10.7198
angles: 109.47 109.47 109.47
Atoms (fractional coordinates):
Sm: 0.3570 0.3570 0.3570
Er: 0.7880 0.9898 0.3281
Tm: 0.1276 0.6276 0.5000
Er: 0.9898 0.3281 0.7880
Er: 0.6719 0.6617 0.4599
Er: 0.3281 0.7880 0.9898
Sm: 0.6430 0.0000 0.0000
Er: 0.7358 0.7358 0.0000
Er: 0.2018 0.2120 0.5401
Er: 0.0000 0.7358 0.7358
Tm: 0.5000 0.1276 0.6276
Er: 0.7982 0.3383 0.0102
Tm: 0.3724 0.5000 0.8724
Er: 0.0000 0.2642 0.2642
Er: 0.5401 0.2018 0.2120
Er: 0.2642 0.2642 0.0000
Tm: 0.5000 0.8724 0.3724
Er: 0.0000 0.0000 0.0000
Er: 0.7358 0.0000 0.7358
Er: 0.6617 0.4599 0.6719
Sm: 0.0000 0.6430 0.0000
Tm: 0.6276 0.5000 0.1276
Er: 0.3383 0.0102 0.7982
Er: 0.2120 0.5401 0.2018
Sm: 0.0000 0.0000 0.6430
Er: 0.0102 0.7982 0.3383
Er: 0.4599 0.6719 0.6617
Er: 0.2642 0.0000 0.2642
Tm: 0.8724 0.3724 0.5000

***

Entry 23:
Compound: ReRhOF2
Source: Alexandria via LeMat-Bulk
Functional: GGA-PBE
Structure: optimized geometry

Computed properties:
electronic total energy: -5.966 eV/atom
density of states at the Fermi level: 1.588 states/eV per atom
SG: No. 123
E_form (uncorrected): -266 meV/atom

abc: 4.2189 4.2189 3.7865
angles: 90.00 90.00 90.00
Each line ends with the local moment (μB).
Atoms (fractional coordinates):
F: 0.0000 0.5000 0.0000  0.00
O: 0.0000 0.0000 0.5000  0.02
Rh: 0.5000 0.5000 0.5000  0.06
F: 0.5000 0.0000 0.0000  0.00
Re: 0.0000 0.0000 0.0000  0.02

***

Entry 24:
Compound: Ac2PmAs
Source: Alexandria via LeMat-Bulk
Functional: GGA-PBE
Structure: optimized geometry

Computed properties:
electronic total energy: -4.518 eV/atom
density of states at the Fermi level: 1.719 states/eV per atom
SG: No. 225

abc: 5.7540 5.7540 5.7540
angles: 60.00 60.00 60.00
Atoms (fractional coordinates):
Pm: 0.0000 0.0000 0.0000
Ac: 0.7500 0.7500 0.7500
As: 0.5000 0.5000 0.5000
Ac: 0.2500 0.2500 0.2500